No. 1
Computed, not measured: an optimized crystal structure of Dy5HoIn2 at the GGA-PBE level of DFT.

abc: 3.533 8.434 8.434
angles: 77.40 77.91 77.91
Fractional coordinates of all 8 atoms:
1 Dy 0.000 0.500 0.500
2 Dy 0.366 0.406 0.862
3 Dy 0.366 0.862 0.406
4 Dy 0.634 0.138 0.594
5 Dy 0.634 0.594 0.138
6 In 0.262 0.238 0.238
7 In 0.738 0.762 0.762
8 Ho 0.000 0.000 0.000

## Properties
- V: 236.3 Å³/f.u.
- ΔE_f: -0.16 eV/atom
- Magnetization: 0.01 μB per formula unit

=====

No. 2
Computed, not measured: an optimized crystal structure of SmHo8Tm3 at the GGA-PBE level of DFT.

abc: 8.373 8.378 8.373
angles: 96.26 136.28 99.67
Fractional coordinates of all 12 atoms:
1 Ho 0.165 0.833 0.333
2 Ho 0.167 0.418 0.252
3 Ho 0.834 0.085 0.252
4 Ho 0.167 0.915 0.749
5 Ho 0.168 0.334 0.834
6 Ho 0.499 0.666 0.834
7 Ho 0.834 0.582 0.749
8 Ho 0.500 0.167 0.332
9 Sm 0.833 0.000 0.833
10 Tm 0.500 0.251 0.752
11 Tm 0.832 0.500 0.332
12 Tm 0.500 0.749 0.249

## Properties
- V: 376.6 Å³/f.u.
- ΔE_f: 0.01 eV/atom
- Magnetization: 0.00 μB per formula unit

=====

No. 3
Computed, not measured: an optimized crystal structure of Sm5Cd2In2 at the GGA-PBE level of DFT.

abc: 7.448 8.764 9.474
angles: 117.55 90.00 90.00
Fractional coordinates of all 18 atoms:
1 Cd 0.388 0.135 0.000
2 Cd 0.888 0.365 0.000
3 Cd 0.612 0.865 0.000
4 Cd 0.112 0.635 0.000
5 In 0.000 0.789 0.578
6 In 0.500 0.711 0.422
7 In 0.500 0.289 0.578
8 In 0.000 0.211 0.422
9 Sm 0.665 0.332 0.285
10 Sm 0.000 0.000 0.000
11 Sm 0.835 0.547 0.715
12 Sm 0.335 0.668 0.715
13 Sm 0.500 0.500 0.000
14 Sm 0.165 0.168 0.715
15 Sm 0.835 0.832 0.285
16 Sm 0.665 0.047 0.715
17 Sm 0.165 0.453 0.285
18 Sm 0.335 0.953 0.285

## Properties
- V: 274.1 Å³/f.u.
- ΔE_f: -0.27 eV/atom
- Magnetization: 0.00 μB per formula unit

=====

Q: Among the records above, which one has the highest magnetization?
A: Dy5HoIn2

=====

Q: Number 2 is which compound?
A: SmHo8Tm3